[1]
The following is a PBE calculation of crystalline Ta2VGa at its relaxed geometry, from Alexandria via LeMat-Bulk.

```
8
Lattice="-3.5868 3.5868 2.7222 3.5868 -3.5868 2.7222 3.5868 3.5868 -2.7222" Properties=species:S:1:pos:R:3 pbc="T T T"
Ta 5.3801 1.7466 -0.6805
Ta 1.7466 1.7934 0.6805
Ta -1.7934 1.8402 2.0416
Ta 1.8402 1.7934 3.4027
V 0.0000 0.0000 0.0000
V 0.0000 3.5868 1.3611
Ga 3.5868 0.0000 1.3611
Ga 0.0000 0.0000 2.7222
```

## Properties
**Volume**: 140.1 Å³ per cell
**ΔE_f**: 0.5527 eV/atom
**M_tot**: 0.00 μB/f.u.

---

[2]
The following is a PBE calculation of crystalline Ta2VGa at its relaxed geometry, from Alexandria via LeMat-Bulk.

```
4
Lattice="3.2982 0.0000 0.0000 0.0000 3.2982 0.0000 0.0000 0.0000 5.9595" Properties=species:S:1:pos:R:3 pbc="T T T"
Ta 0.0000 0.0000 1.4533
Ta 0.0000 0.0000 4.5062
V 1.6491 1.6491 0.0000
Ga 1.6491 1.6491 2.9797
```

## Properties
**Volume**: 64.8 Å³ per cell
**ΔE_f**: -0.1179 eV/atom
**M_tot**: 0.00 μB/f.u.

---

[3]
The following is a PBE calculation of crystalline TaV7Ga5 at its relaxed geometry, from Alexandria via LeMat-Bulk.

```
13
Lattice="-2.5072 4.3331 4.3720 2.5072 -4.3331 4.3720 2.5072 4.3331 -4.3720" Properties=species:S:1:pos:R:3 pbc="T T T"
Ta 0.0000 0.0000 0.0000
V 2.5072 1.6197 -0.0415
V 2.5072 0.0000 1.8336
V 2.5072 -1.1881 4.2628
V 0.0000 0.0000 3.1762
V 0.0000 0.0000 5.3037
V 2.5072 1.1881 4.2628
V 0.0000 2.7134 4.3305
Ga 1.2567 2.1492 2.1196
Ga 3.7577 2.1492 2.1196
Ga 0.0000 4.3331 2.2970
Ga -1.2505 2.1839 6.4917
Ga 1.2505 2.1839 6.4917
```

## Properties
**Volume**: 190.0 Å³ per cell
**ΔE_f**: -0.0602 eV/atom
**M_tot**: 0.00 μB/f.u.